# 1
PmZnHRh2: optimized geometry, PBE.

total energy	-5.311	eV/atom

Cell lengths 3.8590, 5.8386, 7.2698 Å; angles 90.00, 90.00, 109.30 degrees
Last column: nearest neighbours and their distance in Å.
Fractional positions:
1 H 0.0000 0.0000 0.0000  2 Rh 1.73
2 H 0.0000 0.0000 0.5000  2 Rh 1.73
3 Pm 0.4444 0.8887 0.7500  4 H 2.72, 1 Zn 3.03
4 Pm 0.5556 0.1113 0.2500  4 H 2.72, 1 Zn 3.03
5 Rh 0.1546 0.3093 0.5417  1 H 1.73
6 Rh 0.8454 0.6907 0.4583  1 H 1.73
7 Rh 0.1546 0.3093 0.9583  1 H 1.73
8 Rh 0.8454 0.6907 0.0417  1 H 1.73
9 Zn 0.2810 0.5620 0.2500  6 Rh 2.54-2.55
10 Zn 0.7190 0.4380 0.7500  6 Rh 2.54-2.55

# 2
Cu6GePd: optimized geometry, PBE.

total energy	-4.369	eV/atom

Cell lengths 4.2823, 5.2653, 5.2653 Å; angles 120.01, 90.00, 90.00 degrees
Last column: nearest neighbours and their distance in Å.
Fractional positions:
1 Cu 0.5000 0.9134 0.0866  8 Cu 2.58-2.68, 2 Ge 2.63, 2 Pd 2.64
2 Cu 0.0000 0.5854 0.9210  8 Cu 2.60-2.67, 2 Pd 2.63, 2 Ge 2.64
3 Cu 0.5000 0.4232 0.0866  8 Cu 2.58-2.68, 2 Ge 2.63, 2 Pd 2.64
4 Cu 0.5000 0.9134 0.5768  8 Cu 2.58-2.68, 2 Ge 2.63, 2 Pd 2.64
5 Cu 0.0000 0.0790 0.4146  8 Cu 2.60-2.67, 2 Pd 2.63, 2 Ge 2.64
6 Cu 0.0000 0.5854 0.4146  8 Cu 2.60-2.67, 2 Pd 2.63, 2 Ge 2.64
7 Pd 0.0000 0.0833 0.9167  12 Cu 2.63-2.64
8 Ge 0.5000 0.4166 0.5834  12 Cu 2.63-2.64

# 3
GdUMnTc: optimized geometry, PBE.

total energy	-11.000	eV/atom

Cell lengths 4.8075, 4.8075, 4.8075 Å; angles 60.00, 60.00, 60.00 degrees
Last column: nearest neighbours and their distance in Å.
Fractional positions:
1 Gd 0.7500 0.7500 0.7500  4 Mn 2.94, 4 Tc 2.94
2 Mn 0.5000 0.5000 0.5000  4 Gd 2.94, 4 U 2.94
3 U 0.2500 0.2500 0.2500  4 Mn 2.94, 4 Tc 2.94
4 Tc 0.0000 0.0000 0.0000  4 Gd 2.94, 4 U 2.94

# 4
Ba2YZn: optimized geometry, PBE.

total energy	-2.638	eV/atom

Cell lengths 4.5491, 5.5474, 5.8276 Å; angles 90.00, 90.00, 90.00 degrees
Last column: nearest neighbours and their distance in Å.
Fractional positions:
1 Ba 0.5000 0.5000 0.0000  4 Ba 3.59, 4 Zn 3.70
2 Ba 0.0000 0.0000 0.0000  4 Ba 3.59, 4 Y 3.70
3 Y 0.5000 0.0000 0.5000  4 Zn 3.59, 4 Ba 3.70
4 Zn 0.0000 0.5000 0.5000  4 Y 3.59, 4 Ba 3.70

# 5
Na2Sr2Ga: optimized geometry, PBE.

total energy	-1.695	eV/atom
polymorph energy (0 for the lowest one)	0.274	eV per atom

Cell lengths 8.5966, 8.5966, 5.8871 Å; angles 90.00, 90.00, 90.00 degrees
Last column: nearest neighbours and their distance in Å.
Fractional positions:
1 Sr 0.3341 0.8341 0.0000  2 Ga 3.21
2 Sr 0.8341 0.6659 0.0000  2 Ga 3.21
3 Sr 0.1659 0.3341 0.0000  2 Ga 3.21
4 Sr 0.6659 0.1659 0.0000  2 Ga 3.21
5 Na 0.6496 0.8504 0.5000  1 Na 3.64, 6 Sr 3.70-4.01
6 Na 0.3504 0.1496 0.5000  1 Na 3.64, 6 Sr 3.70-4.01
7 Na 0.8504 0.3504 0.5000  1 Na 3.64, 6 Sr 3.70-4.01
8 Na 0.1496 0.6496 0.5000  1 Na 3.64, 6 Sr 3.70-4.01
9 Ga 0.5000 0.5000 0.0000  4 Sr 3.21
10 Ga 0.0000 0.0000 0.0000  4 Sr 3.21

# 6
K5Rb5Au: optimized geometry, PBE.

total energy	-1.292	eV/atom

Cell lengths 8.4619, 8.4619, 14.8816 Å; angles 87.32, 87.32, 48.83 degrees
Last column: nearest neighbours and their distance in Å.
Fractional positions:
1 K 0.5897 0.5897 0.3151  6 K 4.57-4.94, 6 Rb 4.84-4.96
2 K 0.0000 0.0000 0.5000  10 K 4.62-4.97, 2 Rb 4.71
3 K 0.7070 0.7070 0.5910  9 K 4.57-4.97, 3 Rb 4.78-4.81
4 K 0.2930 0.2930 0.4090  9 K 4.57-4.97, 3 Rb 4.78-4.81
5 K 0.4103 0.4103 0.6849  6 K 4.57-4.94, 6 Rb 4.84-4.96
6 Rb 0.1081 0.1081 0.7904  1 Au 3.46
7 Rb 0.8082 0.8082 0.8911  1 Au 3.44
8 Rb 0.1918 0.1918 0.1089  1 Au 3.44
9 Rb 0.5000 0.5000 0.0000  2 Au 3.50
10 Rb 0.8919 0.8919 0.2096  1 Au 3.46
11 Au 0.0000 0.0000 0.0000  6 Rb 3.44-3.50

# 7
SrSb2Cl: optimized geometry, PBE.

energy relative to the elements, uncorrected	-1037	meV per atom
total energy	-3.980	eV/atom
polymorph energy (0 for the lowest one)	0.000	eV per atom

Cell lengths 4.0390, 4.1990, 7.6353 Å; angles 74.05, 90.00, 90.00 degrees
Last column: nearest neighbours and their distance in Å.
Fractional positions:
1 Sb 0.5000 0.4632 0.1985  4 Sb 3.06, 2 Sr 3.42
2 Sb 0.0000 0.0274 0.0705  4 Sb 3.06
3 Cl 0.5000 0.7340 0.6570  4 Sr 2.98
4 Sr 0.0000 0.2754 0.5740  4 Cl 2.98

# 8
K3Sm2YSe6: optimized geometry, PBE.

energy relative to the elements, uncorrected	-1764	meV per atom
total energy	-5.105	eV/atom

Cell lengths 7.3986, 7.3986, 8.0820 Å; angles 98.77, 98.77, 120.00 degrees
Last column: nearest neighbours and their distance in Å.
Fractional positions:
1 Se 0.3980 0.0692 0.2077  1 Y 2.91, 2 Sm 2.95
2 Se 0.0692 0.3980 0.2077  1 Y 2.91, 2 Sm 2.95
3 Se 0.9308 0.6020 0.7923  1 Y 2.91, 2 Sm 2.95
4 Se 0.7405 0.7405 0.2077  1 Y 2.91, 2 Sm 2.95
5 Se 0.2595 0.2595 0.7923  1 Y 2.91, 2 Sm 2.95
6 Se 0.6020 0.9308 0.7923  1 Y 2.91, 2 Sm 2.95
7 K 0.8326 0.1674 0.5000  6 Se 3.33-3.36
8 K 0.5000 0.5000 0.5000  6 Se 3.33-3.36
9 K 0.1674 0.8326 0.5000  6 Se 3.33-3.36
10 Y 0.0000 0.0000 0.0000  6 Se 2.91
11 Sm 0.3334 0.6666 0.0000  6 Se 2.95
12 Sm 0.6666 0.3334 0.0000  6 Se 2.95

# 9
LiSmSc2Pt4: optimized geometry, PBE.

total energy	-6.494	eV/atom

Cell lengths 4.5522, 4.5522, 8.7444 Å; angles 74.91, 74.91, 60.00 degrees
Last column: nearest neighbours and their distance in Å.
Fractional positions:
1 Pt 0.8733 0.8733 0.3800  4 Sc 2.73-2.74, 3 Li 2.81
2 Pt 0.3958 0.3958 0.8125  1 Li 2.61, 3 Sc 2.77
3 Pt 0.6042 0.6042 0.1875  1 Li 2.61, 3 Sc 2.77
4 Pt 0.1267 0.1267 0.6200  4 Sc 2.73-2.74, 3 Li 2.81
5 Sm 0.0000 0.0000 0.0000  8 Pt 3.06-3.17
6 Sc 0.2360 0.2360 0.2921  7 Pt 2.73-2.77
7 Sc 0.7640 0.7640 0.7079  7 Pt 2.73-2.77
8 Li 0.5000 0.5000 0.5000  8 Pt 2.61-2.81

# 10
Sc4Tl2H: optimized geometry, PBE.

total energy	-5.073	eV/atom
polymorph energy (0 for the lowest one)	0.028	eV per atom

Cell lengths 4.2931, 4.2931, 8.4389 Å; angles 75.26, 75.26, 90.00 degrees
Last column: nearest neighbours and their distance in Å.
Fractional positions:
1 Tl 0.6382 0.6382 0.7237  9 Sc 2.96-3.09
2 Tl 0.3618 0.3618 0.2763  9 Sc 2.96-3.09
3 Sc 0.1737 0.1737 0.6526  1 H 2.74, 1 Tl 2.96
4 Sc 0.8263 0.8263 0.3474  1 H 2.74, 1 Tl 2.96
5 Sc 0.5000 0.0000 0.0000  2 H 2.15
6 Sc 0.0000 0.5000 0.0000  2 H 2.15
7 H 0.0000 0.0000 0.0000  4 Sc 2.15

# 11
Ga3Pb5F19: optimized geometry, PBE.

energy relative to the elements, uncorrected	-2520	meV per atom
total energy	-4.860	eV/atom

Cell lengths 7.9315, 10.9950, 10.9950 Å; angles 82.52, 68.86, 68.86 degrees
Last column: nearest neighbours and their distance in Å.
Fractional positions:
1 F 0.3704 0.7393 0.5000  3 Pb 2.37-2.59
2 F 0.2064 0.3538 0.5000  1 Ga 1.93
3 F 0.9344 0.3560 0.1359  1 Ga 1.94
4 F 0.4440 0.9333 0.8275  1 Ga 1.90
5 F 0.2019 0.5000 0.9891  1 Ga 1.89
6 F 0.2903 0.1359 0.6440  1 Ga 1.94
7 F 0.6910 0.5000 0.0109  1 Ga 1.89
8 F 0.9262 0.8641 0.6440  1 Ga 1.94
9 F 0.9440 0.8275 0.9333  1 Ga 1.90
10 F 0.6889 0.7487 0.6284  1 Ga 1.94
11 F 0.0602 0.6462 0.5000  1 Ga 1.93
12 F 0.0660 0.2513 0.3716  1 Ga 1.94
13 F 0.9376 0.2513 0.6284  1 Ga 1.94
14 F 0.8704 0.5000 0.7393  3 Pb 2.37-2.59
15 F 0.4344 0.1359 0.3560  1 Ga 1.94
16 F 0.7049 0.1725 0.0667  1 Ga 1.90
17 F 0.2716 0.1725 0.9333  1 Ga 1.90
18 F 0.7716 0.9333 0.1725  1 Ga 1.90
19 F 0.1096 0.5000 0.2607  3 Pb 2.37-2.59
20 F 0.0702 0.8641 0.3560  1 Ga 1.94
21 F 0.8174 0.7487 0.3716  1 Ga 1.94
22 F 0.1889 0.6284 0.7487  1 Ga 1.94
23 F 0.7019 0.9891 0.5000  1 Ga 1.89
24 F 0.6096 0.2607 0.5000  3 Pb 2.37-2.59
25 F 0.7064 0.5000 0.3538  1 Ga 1.93
26 F 0.4262 0.6440 0.8641  1 Ga 1.94
27 F 0.5602 0.5000 0.6462  1 Ga 1.93
28 F 0.3773 0.8275 0.0667  1 Ga 1.90
29 F 0.2049 0.0667 0.1725  1 Ga 1.90
30 F 0.0682 0.0000 0.0000  2 Ga 1.93-2.03
31 F 0.5702 0.3560 0.8641  1 Ga 1.94
32 F 0.7903 0.6440 0.1359  1 Ga 1.94
33 F 0.1910 0.0109 0.5000  1 Ga 1.89
34 F 0.8773 0.0667 0.8275  1 Ga 1.90
35 F 0.5660 0.3716 0.2513  1 Ga 1.94
36 F 0.3174 0.3716 0.7487  1 Ga 1.94
37 F 0.4376 0.6284 0.2513  1 Ga 1.94
38 F 0.5682 0.0000 0.0000  2 Ga 1.93-2.03
39 Ga 0.8751 0.8175 0.5000  6 F 1.89-1.94
40 Ga 0.1927 0.1825 0.5000  6 F 1.89-1.94
41 Ga 0.3120 0.0000 0.0000  6 F 1.90-2.03
42 Ga 0.6927 0.5000 0.1825  6 F 1.89-1.94
43 Ga 0.8120 0.0000 0.0000  6 F 1.90-2.03
44 Ga 0.3751 0.5000 0.8175  6 F 1.89-1.94
45 Pb 0.2474 0.2992 0.1481  4 F 2.37-2.63
46 Pb 0.5465 0.1481 0.7008  4 F 2.37-2.63
47 Pb 0.3845 0.5000 0.5000  6 F 2.48-2.59
48 Pb 0.8845 0.5000 0.5000  6 F 2.48-2.59
49 Pb 0.6946 0.7008 0.8519  4 F 2.37-2.63
50 Pb 0.8955 0.2992 0.8519  4 F 2.37-2.63
51 Pb 0.7474 0.1481 0.2992  4 F 2.37-2.63
52 Pb 0.0465 0.7008 0.1481  4 F 2.37-2.63
53 Pb 0.3955 0.8519 0.2992  4 F 2.37-2.63
54 Pb 0.1946 0.8519 0.7008  4 F 2.37-2.63

# 12
SrHgTeN2: optimized geometry, PBE.

energy relative to the elements, uncorrected	1214	meV per atom
total energy	-3.141	eV/atom
polymorph energy (0 for the lowest one)	0.309	eV per atom

Cell lengths 4.8783, 4.8783, 6.8176 Å; angles 90.00, 90.00, 90.00 degrees
Last column: nearest neighbours and their distance in Å.
Fractional positions:
1 N 0.5000 0.0000 0.0000  2 Sr 2.44
2 N 0.0000 0.5000 0.0000  2 Sr 2.44
3 Sr 0.0000 0.0000 0.0000  4 N 2.44
4 Te 0.0000 0.0000 0.5000  2 Sr 3.41, 4 Hg 3.45
5 Hg 0.5000 0.5000 0.5000  4 Te 3.45

What is the total energy in the fourth record?
-2.638 eV/atom